No. 1
Computed, not measured: crystalline BeAlSb at its relaxed geometry at the PBE level of DFT.

Results
Offset from the most stable computed form ... 0.007 eV per atom
Fermi-level density of states ... 0.67 states/eV per cell
Formation energy (no corrections) ... 0.304 eV/atom
Theoretical density ... 4.6 g cm⁻³
Crystal system ... trigonal

```
data_BeAlSb
_space_group_name_H-M_alt 'P 1'
_space_group_IT_number 1
_cell_length_a 3.792
_cell_length_b 3.792
_cell_length_c 4.558
_cell_angle_alpha 90.00
_cell_angle_beta 90.00
_cell_angle_gamma 120.00
loop_
_space_group_symop_operation_xyz
'x,y,z'
loop_
_atom_site_label
_atom_site_fract_x
_atom_site_fract_y
_atom_site_fract_z
_atom_site_occupancy
Al1 0.000 0.000 0.073 1
Sb1 0.333 0.667 0.590 1
Be1 0.667 0.333 0.337 1
```

No. 2
Computed, not measured: crystalline ScSe2Cl at its relaxed geometry at the PBE level of DFT.

Results
Offset from the most stable computed form ... 1.542 eV per atom
Fermi-level density of states ... 5.38 states/eV per cell
Formation energy (no corrections) ... 0.249 eV/atom
Theoretical density ... 4.2 g cm⁻³
Crystal system ... trigonal

```
data_ScSe2Cl
_space_group_name_H-M_alt 'P 1'
_space_group_IT_number 1
_cell_length_a 9.884
_cell_length_b 9.884
_cell_length_c 9.884
_cell_angle_alpha 19.63
_cell_angle_beta 19.63
_cell_angle_gamma 19.63
loop_
_space_group_symop_operation_xyz
'x,y,z'
loop_
_atom_site_label
_atom_site_fract_x
_atom_site_fract_y
_atom_site_fract_z
_atom_site_occupancy
Cl1 0.500 0.500 0.500 1
Se1 0.088 0.088 0.088 1
Se2 0.912 0.912 0.912 1
Sc1 0.000 0.000 0.000 1
```

No. 3
Computed, not measured: crystalline LuPaSnPb at its relaxed geometry at the PBE level of DFT.

Results
Formation energy ... -0.124 eV/atom
Fermi-level density of states ... 7.72 states/eV per cell
Theoretical density ... 11.3 g cm⁻³
Crystal system ... cubic

```
data_LuPaSnPb
_space_group_name_H-M_alt 'P 1'
_space_group_IT_number 1
_cell_length_a 5.330
_cell_length_b 5.330
_cell_length_c 5.330
_cell_angle_alpha 60.00
_cell_angle_beta 60.00
_cell_angle_gamma 60.00
loop_
_space_group_symop_operation_xyz
'x,y,z'
loop_
_atom_site_label
_atom_site_fract_x
_atom_site_fract_y
_atom_site_fract_z
_atom_site_occupancy
Sn1 0.750 0.750 0.750 1
Pb1 0.250 0.250 0.250 1
Lu1 0.500 0.500 0.500 1
Pa1 0.000 0.000 0.000 1
```

No. 4
Computed, not measured: crystalline Cu4Pt5W at its relaxed geometry at the PBE level of DFT.

Results
Formation energy ... -0.194 eV/atom
Fermi-level density of states ... 8.88 states/eV per cell
Theoretical density ... 16.4 g cm⁻³
Crystal system ... tetragonal

```
data_Cu4Pt5W
_space_group_name_H-M_alt 'P 1'
_space_group_IT_number 1
_cell_length_a 2.799
_cell_length_b 2.799
_cell_length_c 18.233
_cell_angle_alpha 90.00
_cell_angle_beta 90.00
_cell_angle_gamma 90.00
loop_
_space_group_symop_operation_xyz
'x,y,z'
loop_
_atom_site_label
_atom_site_fract_x
_atom_site_fract_y
_atom_site_fract_z
_atom_site_occupancy
Cu1 0.000 0.000 0.207 1
Cu2 0.000 0.000 0.598 1
Cu3 0.000 0.000 0.793 1
Cu4 0.000 0.000 0.402 1
Pt1 0.500 0.500 0.696 1
Pt2 0.500 0.500 0.105 1
Pt3 0.500 0.500 0.304 1
Pt4 0.500 0.500 0.500 1
Pt5 0.500 0.500 0.895 1
W1 0.000 0.000 0.000 1
```

No. 5
Computed, not measured: crystalline LiGaIr3 at its relaxed geometry at the PBE level of DFT.

Results
Formation energy ... 0.750 eV/atom
Offset from the most stable computed form ... 0.000 eV per atom
Fermi-level density of states ... 5.55 states/eV per cell
Theoretical density ... 15.3 g cm⁻³
Crystal system ... cubic

```
data_LiGaIr3
_space_group_name_H-M_alt 'P 1'
_space_group_IT_number 1
_cell_length_a 4.142
_cell_length_b 4.142
_cell_length_c 4.142
_cell_angle_alpha 90.00
_cell_angle_beta 90.00
_cell_angle_gamma 90.00
loop_
_space_group_symop_operation_xyz
'x,y,z'
loop_
_atom_site_label
_atom_site_fract_x
_atom_site_fract_y
_atom_site_fract_z
_atom_site_occupancy
Ga1 0.500 0.500 0.500 1
Ir1 0.000 0.000 0.500 1
Ir2 0.000 0.500 0.000 1
Ir3 0.500 0.000 0.000 1
Li1 0.000 0.000 0.000 1
```

No. 6
Computed, not measured: crystalline TlHg2BiSe at its relaxed geometry at the PBE level of DFT.

Results
Fermi-level density of states ... 3.86 states/eV per cell
Formation energy (no corrections) ... 0.468 eV/atom
Theoretical density ... 8.5 g cm⁻³
Crystal system ... tetragonal

```
data_TlHg2BiSe
_space_group_name_H-M_alt 'P 1'
_space_group_IT_number 1
_cell_length_a 5.558
_cell_length_b 5.636
_cell_length_c 5.558
_cell_angle_alpha 90.00
_cell_angle_beta 90.00
_cell_angle_gamma 90.00
loop_
_space_group_symop_operation_xyz
'x,y,z'
loop_
_atom_site_label
_atom_site_fract_x
_atom_site_fract_y
_atom_site_fract_z
_atom_site_occupancy
Hg1 0.500 0.000 0.000 1
Hg2 0.000 0.000 0.500 1
Bi1 0.500 0.500 0.500 1
Se1 0.000 0.500 0.000 1
Tl1 0.000 0.000 0.000 1
```

No. 7
Computed, not measured: crystalline RbSr2LiPd at its relaxed geometry at the PBE level of DFT.

Results
Formation energy ... -0.114 eV/atom
Offset from the most stable computed form ... 0.000 eV per atom
Fermi-level density of states ... 3.51 states/eV per cell
Theoretical density ... 3.0 g cm⁻³
Crystal system ... tetragonal

```
data_RbSr2LiPd
_space_group_name_H-M_alt 'P 1'
_space_group_IT_number 1
_cell_length_a 6.059
_cell_length_b 6.059
_cell_length_c 5.644
_cell_angle_alpha 90.00
_cell_angle_beta 90.00
_cell_angle_gamma 90.00
loop_
_space_group_symop_operation_xyz
'x,y,z'
loop_
_atom_site_label
_atom_site_fract_x
_atom_site_fract_y
_atom_site_fract_z
_atom_site_occupancy
Pd1 0.000 0.000 0.000 1
Sr1 0.500 0.000 0.000 1
Sr2 0.000 0.500 0.000 1
Li1 0.000 0.000 0.500 1
Rb1 0.500 0.500 0.500 1
```

No. 8
Computed, not measured: crystalline Y2SnPdS at its relaxed geometry at the PBE level of DFT.

Results
Fermi-level density of states ... 3.05 states/eV per cell
Formation energy (no corrections) ... -0.415 eV/atom
Theoretical density ... 5.4 g cm⁻³
Crystal system ... tetragonal

```
data_Y2SnPdS
_space_group_name_H-M_alt 'P 1'
_space_group_IT_number 1
_cell_length_a 5.111
_cell_length_b 5.134
_cell_length_c 5.111
_cell_angle_alpha 90.00
_cell_angle_beta 90.00
_cell_angle_gamma 90.00
loop_
_space_group_symop_operation_xyz
'x,y,z'
loop_
_atom_site_label
_atom_site_fract_x
_atom_site_fract_y
_atom_site_fract_z
_atom_site_occupancy
Pd1 0.500 0.500 0.500 1
Sn1 0.000 0.500 0.000 1
Y1 0.500 0.000 0.000 1
Y2 0.000 0.000 0.500 1
S1 0.000 0.000 0.000 1
```